No. 1
The following is a DFT calculation (PBE-GGA) of a geometry-optimized RbTlSe3 structure.

## Properties
Mass density (g/cm3): 5.2
E above lowest polymorph (meV per atom): 0
Volume (Å³/f.u.): 169.50

a = 6.890 Å, b = 7.600 Å, c = 9.528 Å
α = 64.23°, β = 85.50°, γ = 51.63°
Fractional positions:
Se 0.172 0.703 0.864
Se 0.233 0.203 0.813
Tl 0.193 0.321 0.210
Se 0.734 0.703 0.314
Se 0.672 0.204 0.363
Se 0.045 0.124 0.673
Rb 0.829 0.119 0.025
Se 0.545 0.625 0.173
Rb 0.329 0.619 0.525
Tl 0.693 0.822 0.710

---

No. 2
The following is a DFT calculation (PBE-GGA) of a geometry-optimized TbCeHo4 structure.

## Properties
Formation enthalpy at 0 K (eV/atom): 0.28
Mass density (g/cm3): 8.4
E above lowest polymorph (meV per atom): 254
Volume (Å³/f.u.): 190.08

a = 6.605 Å, b = 11.456 Å, c = 8.304 Å
α = 133.61°, β = 113.43°, γ = 90.00°
Fractional positions:
Ho 0.167 0.664 0.333
Ho 0.833 0.831 0.667
Ho 0.167 0.169 0.333
Ho 0.833 0.336 0.667
Ho 0.665 0.666 0.832
Ho 0.833 0.334 0.168
Tb 0.500 0.000 0.500
Ce 0.500 0.000 0.000
Ce 0.500 0.500 0.000
Ho 0.335 0.334 0.168
Tb 0.000 0.000 0.500
Ho 0.167 0.666 0.832

---

No. 3
The following is a DFT calculation (PBE-GGA) of a geometry-optimized Y2HoTmTe6 structure.

## Properties
DFT total energy (eV for the cell shown): -54.46
Mass density (g/cm3): 6.0
Volume (Å³/f.u.): 356.25

a = 7.666 Å, b = 7.666 Å, c = 8.281 Å
α = 62.43°, β = 62.43°, γ = 60.00°
Fractional positions:
Te 0.598 0.228 0.252
Ho 0.824 0.824 0.528
Te 0.727 0.100 0.754
Te 0.419 0.727 0.754
Y 0.510 0.510 0.471
Te 0.922 0.598 0.252
Te 0.228 0.922 0.252
Te 0.100 0.419 0.753
Y 0.009 0.009 0.972
Tm 0.324 0.324 0.027

---

No. 4
The following is a DFT calculation (PBE-GGA) of a geometry-optimized Zr2RuSe structure.

## Properties
DFT total energy (eV for the cell shown): -31.52
Mass density (g/cm3): 8.1
Volume (Å³/f.u.): 74.50

a = 4.907 Å, b = 4.907 Å, c = 4.907 Å
α = 126.11°, β = 126.11°, γ = 79.71°
Fractional positions:
Zr 0.500 0.500 0.000
Zr 0.000 0.000 0.000
Se 0.750 0.250 0.500
Ru 0.250 0.750 0.500

---

No. 5
The following is a DFT calculation (PBE-GGA) of a geometry-optimized GdYHgPt structure.

## Properties
Formation enthalpy at 0 K (eV/atom): -0.80
Mass density (g/cm3): 11.2
Volume (Å³/f.u.): 94.97

a = 5.121 Å, b = 5.121 Å, c = 5.121 Å
α = 60.00°, β = 60.00°, γ = 60.00°
Fractional positions:
Hg 0.750 0.750 0.750
Y 0.000 0.000 0.000
Gd 0.500 0.500 0.500
Pt 0.250 0.250 0.250

---

No. 6
The following is a DFT calculation (PBE-GGA) of a geometry-optimized HoErPtRh structure.

## Properties
Formation enthalpy at 0 K (eV/atom): -1.10
Mass density (g/cm3): 12.9
E above lowest polymorph (meV per atom): 0
Volume (Å³/f.u.): 81.05

a = 3.431 Å, b = 3.431 Å, c = 6.886 Å
α = 90.00°, β = 90.00°, γ = 90.00°
Fractional positions:
Ho 0.500 0.500 0.613
Pt 0.000 0.000 0.355
Rh 0.000 0.000 0.859
Er 0.500 0.500 0.101

---

No. 7
The following is a DFT calculation (PBE-GGA) of a geometry-optimized Rb2SbI6Br structure.

## Properties
DFT total energy (eV for the cell shown): -23.81
Mass density (g/cm3): 3.9
Volume (Å³/f.u.): 479.20

a = 8.561 Å, b = 8.561 Å, c = 8.911 Å
α = 61.29°, β = 61.29°, γ = 90.00°
Fractional positions:
Br 0.500 0.500 0.000
I 0.773 0.773 0.454
Rb 0.250 0.750 0.500
I 0.242 0.242 0.000
Sb 0.000 0.000 0.000
I 0.227 0.227 0.546
I 0.758 0.242 0.000
I 0.758 0.758 0.000
I 0.242 0.758 0.000
Rb 0.750 0.250 0.500

---

No. 8
The following is a DFT calculation (PBE-GGA) of a geometry-optimized LaPrNd2Er2 structure.

## Properties
Formation enthalpy at 0 K (eV/atom): 0.16
Mass density (g/cm3): 7.2
Volume (Å³/f.u.): 208.48

a = 3.582 Å, b = 16.426 Å, c = 7.087 Å
α = 90.00°, β = 90.00°, γ = 90.00°
Fractional positions:
Nd 0.000 0.662 0.751
Pr 0.500 0.500 0.000
Nd 0.000 0.338 0.249
La 0.000 0.000 0.000
La 0.500 0.500 0.500
Er 0.000 0.655 0.250
Er 0.500 0.155 0.250
Er 0.500 0.845 0.750
Nd 0.500 0.162 0.749
Er 0.000 0.345 0.750
Pr 0.000 0.000 0.500
Nd 0.500 0.838 0.251

---

No. 9
The following is a DFT calculation (PBE-GGA) of a geometry-optimized BaRu2 structure.

## Properties
Formation enthalpy at 0 K (eV/atom): 1.18
Mass density (g/cm3): 9.1
Volume (Å³/f.u.): 61.80

a = 3.051 Å, b = 3.051 Å, c = 7.667 Å
α = 90.00°, β = 90.00°, γ = 120.00°
Fractional positions:
Ba 0.000 0.000 0.000
Ru 0.333 0.667 0.378
Ru 0.667 0.333 0.622

---

No. 10
The following is a DFT calculation (PBE-GGA) of a geometry-optimized TaZnCuS2 structure.

## Properties
DFT total energy (eV for the cell shown): -24.44
Mass density (g/cm3): 5.5
Volume (Å³/f.u.): 113.78

a = 4.718 Å, b = 5.112 Å, c = 4.718 Å
α = 90.00°, β = 90.00°, γ = 90.00°
Fractional positions:
Zn 0.500 0.500 0.500
S 0.000 0.000 0.500
S 0.500 0.000 0.000
Ta 0.000 0.000 0.000
Cu 0.000 0.500 0.000

---

No. 11
The following is a DFT calculation (PBE-GGA) of a geometry-optimized CaNd2Zn2Ge2 structure.

## Properties
Formation enthalpy at 0 K (eV/atom): -0.42
Mass density (g/cm3): 5.6
Volume (Å³/f.u.): 178.53

a = 4.227 Å, b = 4.227 Å, c = 11.792 Å
α = 79.67°, β = 79.67°, γ = 60.00°
Fractional positions:
Ge 0.728 0.728 0.817
Nd 0.122 0.122 0.634
Ca 0.000 0.000 0.000
Nd 0.878 0.878 0.366
Ge 0.272 0.272 0.183
Zn 0.601 0.601 0.197
Zn 0.399 0.399 0.803

---

No. 12
The following is a DFT calculation (PBE-GGA) of a geometry-optimized PmIrBr6 structure.

## Properties
DFT total energy (eV for the cell shown): -31.09
Mass density (g/cm3): 5.6
Volume (Å³/f.u.): 241.10

a = 6.730 Å, b = 6.730 Å, c = 7.272 Å
α = 62.44°, β = 62.44°, γ = 60.00°
Fractional positions:
Br 0.221 0.938 0.235
Br 0.062 0.393 0.765
Pm 0.500 0.500 0.500
Br 0.938 0.607 0.235
Br 0.393 0.779 0.765
Br 0.607 0.221 0.235
Br 0.779 0.062 0.765
Ir 0.000 0.000 0.000